No. 1
CaInAgBr6: relaxed, PBE.

Values from the calculation:
- Calculated total energy: -0.2233 Ry per atom
- Size of the total moment: 0.00 μB per formula unit

```
data_CaInAgBr6
_cell_length_a 7.113
_cell_length_b 7.113
_cell_length_c 12.829
_cell_angle_alpha 90.00
_cell_angle_beta 90.00
_cell_angle_gamma 120.00
_space_group_name_H-M_alt 'P 1'
_space_group_IT_number 1
loop_
_space_group_symop_operation_xyz
'x,y,z'
loop_
_atom_site_label
_atom_site_type_symbol
_atom_site_fract_x
_atom_site_fract_y
_atom_site_fract_z
Br1 Br 0.019 0.354 0.627
Ag1 Ag 0.000 0.000 0.500
Br2 Br 0.354 0.019 0.127
Ca1 Ca 0.667 0.333 0.750
Br3 Br 0.981 0.334 0.127
Ag2 Ag 0.000 0.000 0.000
Br4 Br 0.666 0.019 0.373
In1 In 0.333 0.667 0.750
Br5 Br 0.646 0.666 0.627
Br6 Br 0.666 0.646 0.127
Br7 Br 0.354 0.334 0.373
Br8 Br 0.019 0.666 0.873
Br9 Br 0.334 0.981 0.627
Br10 Br 0.981 0.646 0.373
In2 In 0.667 0.333 0.250
Ca2 Ca 0.333 0.667 0.250
Br11 Br 0.646 0.981 0.873
Br12 Br 0.334 0.354 0.873
```

---

No. 2
CaIn2AgBr5: relaxed, PBE.

Values from the calculation:
- Calculated total energy: -0.2296 Ry per atom
- Size of the total moment: 0.00 μB per formula unit

```
data_CaIn2AgBr5
_cell_length_a 4.355
_cell_length_b 9.842
_cell_length_c 14.367
_cell_angle_alpha 90.00
_cell_angle_beta 90.00
_cell_angle_gamma 102.78
_space_group_name_H-M_alt 'P 1'
_space_group_IT_number 1
loop_
_space_group_symop_operation_xyz
'x,y,z'
loop_
_atom_site_label
_atom_site_type_symbol
_atom_site_fract_x
_atom_site_fract_y
_atom_site_fract_z
Ag1 Ag 0.444 0.889 0.437
Br1 Br 0.700 0.401 0.889
Br2 Br 0.639 0.277 0.502
Br3 Br 0.279 0.558 0.662
Br4 Br 0.058 0.115 0.049
Br5 Br 0.300 0.599 0.389
Br6 Br 0.942 0.885 0.549
In1 In 0.128 0.255 0.320
In2 In 0.903 0.806 0.165
In3 In 0.097 0.194 0.665
Br7 Br 0.361 0.723 0.002
Ca1 Ca 0.789 0.579 0.526
Br8 Br 0.721 0.442 0.162
Br9 Br 0.506 0.012 0.273
Ag2 Ag 0.556 0.111 0.937
Ca2 Ca 0.211 0.421 0.026
Br10 Br 0.494 0.988 0.773
In4 In 0.872 0.745 0.820
```

---

No. 3
K2CaAgBr5: relaxed, PBE.

Values from the calculation:
- Calculated total energy: -0.2391 Ry per atom
- Size of the total moment: 0.00 μB per formula unit

```
data_K2CaAgBr5
_cell_length_a 4.408
_cell_length_b 9.895
_cell_length_c 14.172
_cell_angle_alpha 90.00
_cell_angle_beta 90.00
_cell_angle_gamma 102.87
_space_group_name_H-M_alt 'P 1'
_space_group_IT_number 1
loop_
_space_group_symop_operation_xyz
'x,y,z'
loop_
_atom_site_label
_atom_site_type_symbol
_atom_site_fract_x
_atom_site_fract_y
_atom_site_fract_z
Ag1 Ag 0.450 0.900 0.442
Br1 Br 0.060 0.120 0.051
Br2 Br 0.503 0.005 0.272
K1 K 0.897 0.794 0.174
Ag2 Ag 0.550 0.100 0.942
Br3 Br 0.282 0.563 0.661
K2 K 0.127 0.254 0.317
Br4 Br 0.718 0.437 0.161
Ca1 Ca 0.790 0.580 0.522
Br5 Br 0.699 0.398 0.883
Br6 Br 0.497 0.995 0.772
Br7 Br 0.940 0.880 0.551
K3 K 0.873 0.746 0.817
K4 K 0.103 0.206 0.674
Ca2 Ca 0.210 0.420 0.022
Br8 Br 0.642 0.283 0.502
Br9 Br 0.301 0.602 0.383
Br10 Br 0.358 0.717 0.002
```

---

No. 4
K3CaAg2Br6: relaxed, PBE.

Values from the calculation:
- Calculated total energy: -0.2149 Ry per atom
- Size of the total moment: 0.11 μB per formula unit

```
data_K3CaAg2Br6
_cell_length_a 8.037
_cell_length_b 8.037
_cell_length_c 8.247
_cell_angle_alpha 90.00
_cell_angle_beta 90.00
_cell_angle_gamma 120.00
_space_group_name_H-M_alt 'P 1'
_space_group_IT_number 1
loop_
_space_group_symop_operation_xyz
'x,y,z'
loop_
_atom_site_label
_atom_site_type_symbol
_atom_site_fract_x
_atom_site_fract_y
_atom_site_fract_z
K1 K 0.667 0.333 0.399
K2 K 0.000 0.000 0.000
Ag1 Ag 0.333 0.667 0.107
K3 K 0.333 0.667 0.601
Br1 Br 0.166 0.333 0.292
Ca1 Ca 0.000 0.000 0.500
Br2 Br 0.834 0.667 0.708
Br3 Br 0.667 0.834 0.292
Ag2 Ag 0.667 0.333 0.893
Br4 Br 0.166 0.834 0.292
Br5 Br 0.834 0.166 0.708
Br6 Br 0.333 0.166 0.708
```

---

No. 5
K2CaAg2Br6: relaxed, PBE.

Values from the calculation:
- Calculated total energy: -0.2276 Ry per atom
- Size of the total moment: 0.00 μB per formula unit

```
data_K2CaAg2Br6
_cell_length_a 8.051
_cell_length_b 8.078
_cell_length_c 7.886
_cell_angle_alpha 115.25
_cell_angle_beta 90.00
_cell_angle_gamma 119.89
_space_group_name_H-M_alt 'P 1'
_space_group_IT_number 1
loop_
_space_group_symop_operation_xyz
'x,y,z'
loop_
_atom_site_label
_atom_site_type_symbol
_atom_site_fract_x
_atom_site_fract_y
_atom_site_fract_z
Br1 Br 0.274 0.548 0.418
Ag1 Ag 0.061 0.121 0.217
Br2 Br 0.726 0.452 0.582
K1 K 0.263 0.526 0.821
Br3 Br 0.814 0.137 0.812
Br4 Br 0.186 0.863 0.188
Br5 Br 0.677 0.863 0.188
Ca1 Ca 0.500 0.000 0.500
Ag2 Ag 0.939 0.879 0.783
K2 K 0.737 0.474 0.179
Br6 Br 0.323 0.137 0.812
```

---

No. 6
LiCaAgBr4: relaxed, PBE.

Values from the calculation:
- Calculated total energy: -0.2442 Ry per atom
- Size of the total moment: 0.00 μB per formula unit

```
data_LiCaAgBr4
_cell_length_a 8.176
_cell_length_b 8.326
_cell_length_c 8.548
_cell_angle_alpha 120.88
_cell_angle_beta 90.00
_cell_angle_gamma 119.41
_space_group_name_H-M_alt 'P 1'
_space_group_IT_number 1
loop_
_space_group_symop_operation_xyz
'x,y,z'
loop_
_atom_site_label
_atom_site_type_symbol
_atom_site_fract_x
_atom_site_fract_y
_atom_site_fract_z
Ag1 Ag 0.151 0.303 0.901
Li1 Li 0.000 0.500 0.500
Ca1 Ca 0.500 0.000 0.500
Br1 Br 0.254 0.508 0.284
Br2 Br 0.749 0.014 0.257
Br3 Br 0.251 0.986 0.743
Br4 Br 0.746 0.492 0.716
Ag2 Ag 0.849 0.697 0.099
Li2 Li 0.500 0.500 0.500
Br5 Br 0.264 0.014 0.257
Ca2 Ca 0.500 0.000 0.000
Br6 Br 0.746 0.492 0.276
Br7 Br 0.254 0.508 0.724
Br8 Br 0.736 0.986 0.743
```

---

No. 7
LiCaAg2Br6: relaxed, PBE.

Values from the calculation:
- Calculated total energy: -0.2189 Ry per atom
- Size of the total moment: 0.00 μB per formula unit

```
data_LiCaAg2Br6
_cell_length_a 7.341
_cell_length_b 6.983
_cell_length_c 8.002
_cell_angle_alpha 86.89
_cell_angle_beta 120.95
_cell_angle_gamma 121.18
_space_group_name_H-M_alt 'P 1'
_space_group_IT_number 1
loop_
_space_group_symop_operation_xyz
'x,y,z'
loop_
_atom_site_label
_atom_site_type_symbol
_atom_site_fract_x
_atom_site_fract_y
_atom_site_fract_z
Ca1 Ca 0.996 0.497 0.480
Br1 Br 0.508 0.921 0.744
Br2 Br 0.813 0.586 0.705
Br3 Br 0.178 0.408 0.254
Li1 Li 0.998 0.004 0.983
Ag1 Ag 0.651 0.836 0.454
Br4 Br 0.135 0.223 0.738
Ag2 Ag 0.342 0.159 0.506
Br5 Br 0.485 0.072 0.216
Br6 Br 0.859 0.772 0.223
```

---

No. 8
CaMgAg2Br6: relaxed, PBE.

Values from the calculation:
- Calculated total energy: -0.2281 Ry per atom
- Size of the total moment: 0.00 μB per formula unit

```
data_CaMgAg2Br6
_cell_length_a 7.330
_cell_length_b 9.311
_cell_length_c 9.311
_cell_angle_alpha 85.09
_cell_angle_beta 83.19
_cell_angle_gamma 83.19
_space_group_name_H-M_alt 'P 1'
_space_group_IT_number 1
loop_
_space_group_symop_operation_xyz
'x,y,z'
loop_
_atom_site_label
_atom_site_type_symbol
_atom_site_fract_x
_atom_site_fract_y
_atom_site_fract_z
Br1 Br 0.417 0.878 0.356
Br2 Br 0.374 0.203 0.023
Ca1 Ca 0.250 0.914 0.086
Ag1 Ag 0.280 0.474 0.305
Ag2 Ag 0.220 0.695 0.526
Br3 Br 0.917 0.356 0.878
Mg1 Mg 0.750 0.752 0.248
Ag3 Ag 0.720 0.526 0.695
Br4 Br 0.643 0.483 0.268
Br5 Br 0.083 0.644 0.122
Br6 Br 0.357 0.517 0.732
Br7 Br 0.857 0.732 0.517
Mg2 Mg 0.250 0.248 0.752
Ca2 Ca 0.750 0.086 0.914
Br8 Br 0.583 0.122 0.644
Ag4 Ag 0.780 0.305 0.474
Br9 Br 0.126 0.977 0.797
Br10 Br 0.143 0.268 0.483
Br11 Br 0.874 0.023 0.203
Br12 Br 0.626 0.797 0.977
```

---

What are the formation energy from raw total energies values for these records? In order: -1.08; -1.05; -1.54; -1.17; -1.28; -1.40; -1.01; -1.17 eV/atom.